# CrSiMo2 | Alexandria via LeMat-Bulk | PBE | optimized geometry
# **V**: 171.90 Å³/cell
# **VASP energy**: -8.96 eV per atom
# **ΔE_f (raw)**: 0.21 eV/atom
data_CrSiMo2
_chemical_formula_sum 'Cr3 Si3 Mo6'
_cell_length_a 2.7921
_cell_length_b 2.7921
_cell_length_c 25.4614
_cell_angle_alpha 90.00
_cell_angle_beta 90.00
_cell_angle_gamma 120.00
_symmetry_space_group_name_H-M 'R 3 m'
_symmetry_Int_Tables_number 160
_symmetry_space_group_name_Hall 'R 3 -2"'
loop_
_atom_site_label
_atom_site_fract_x
_atom_site_fract_y
_atom_site_fract_z
_atom_site_occupancy
Cr1 0.0000 0.0000 0.0000 1
Si1 0.0000 0.0000 0.2596 1
Mo1 0.0000 0.0000 0.5076 1
Mo2 0.0000 0.0000 0.7480 1

***

# PmTm4Cd | Alexandria via LeMat-Bulk | PBE | optimized geometry
# **V**: 175.96 Å³/cell
# **VASP energy**: -4.01 eV per atom
# **Energy relative to the lowest polymorph listed for this composition**: 0.000 eV per atom
# **Calculated formation energy**: -0.08 eV/atom
data_PmTm4Cd
_chemical_formula_sum 'Pm1 Tm4 Cd1'
_cell_length_a 3.541
_cell_length_b 3.541
_cell_length_c 14.034
_cell_angle_alpha 90.00
_cell_angle_beta 90.00
_cell_angle_gamma 90.00
_symmetry_space_group_name_H-M 'P 4/m m m'
_symmetry_Int_Tables_number 123
_symmetry_space_group_name_Hall '-P 4 2'
loop_
_atom_site_label
_atom_site_fract_x
_atom_site_fract_y
_atom_site_fract_z
_atom_site_occupancy
Pm1 0.000 0.000 0.000 1
Tm1 0.000 0.000 0.354 1
Tm2 0.500 0.500 0.179 1
Cd1 0.500 0.500 0.500 1

***

# AcHo2SbO8 | Alexandria via LeMat-Bulk | PBE | optimized geometry
# **V**: 369.50 Å³/cell
# **VASP energy**: -7.24 eV per atom
# **ΔE_f (raw)**: -2.48 eV/atom
data_AcHo2SbO8
_chemical_formula_sum 'Ac2 Ho4 Sb2 O16'
_cell_length_a 7.096
_cell_length_b 7.151
_cell_length_c 7.281
_cell_angle_alpha 90.00
_cell_angle_beta 90.00
_cell_angle_gamma 90.00
_symmetry_space_group_name_H-M 'C m m m'
_symmetry_Int_Tables_number 65
_symmetry_space_group_name_Hall '-C 2 2'
loop_
_atom_site_label
_atom_site_fract_x
_atom_site_fract_y
_atom_site_fract_z
_atom_site_occupancy
Ac1 0.000 0.000 0.000 1
Ho1 0.000 0.500 0.267 1
Sb1 0.000 0.000 0.500 1
O1 0.000 0.189 0.296 1
O2 0.169 0.500 0.000 1
O3 0.215 0.500 0.500 1

***

# PrSn4RuRh2 | Alexandria via LeMat-Bulk | PBE | optimized geometry
# **V**: 501.23 Å³/cell
# **VASP energy**: -6.04 eV per atom
# **Calculated formation energy**: -0.45 eV/atom
data_PrSn4RuRh2
_chemical_formula_sum 'Pr3 Sn12 Ru3 Rh6'
_cell_length_a 4.5072
_cell_length_b 4.5072
_cell_length_c 28.4902
_cell_angle_alpha 90.00
_cell_angle_beta 90.00
_cell_angle_gamma 120.00
_symmetry_space_group_name_H-M 'R -3 m'
_symmetry_Int_Tables_number 166
_symmetry_space_group_name_Hall '-R 3 2"'
loop_
_atom_site_label
_atom_site_fract_x
_atom_site_fract_y
_atom_site_fract_z
_atom_site_occupancy
Pr1 0.0000 0.0000 0.0000 1
Sn1 0.0000 0.0000 0.1315 1
Sn2 0.0000 0.0000 0.3985 1
Ru1 0.0000 0.0000 0.5000 1
Rh1 0.0000 0.0000 0.2304 1

***

# Cr2PIr2 | Alexandria via LeMat-Bulk | PBE | optimized geometry
# **V**: 149.54 Å³/cell
# **VASP energy**: -8.02 eV per atom
# **Energy relative to the lowest polymorph listed for this composition**: 0.253 eV per atom
# **Calculated formation energy**: 0.46 eV/atom
data_Cr2PIr2
_chemical_formula_sum 'Cr4 P2 Ir4'
_cell_length_a 3.693
_cell_length_b 3.693
_cell_length_c 10.965
_cell_angle_alpha 90.00
_cell_angle_beta 90.00
_cell_angle_gamma 90.00
_symmetry_space_group_name_H-M 'I 4/m m m'
_symmetry_Int_Tables_number 139
_symmetry_space_group_name_Hall '-I 4 2'
loop_
_atom_site_label
_atom_site_fract_x
_atom_site_fract_y
_atom_site_fract_z
_atom_site_occupancy
Cr1 0.000 0.000 0.097 1
P1 0.000 0.000 0.500 1
Ir1 0.000 0.500 0.250 1

***

# Cr3OsS | Alexandria via LeMat-Bulk | PBE | optimized geometry
# **V**: 104.53 Å³/cell
# **VASP energy**: -7.54 eV per atom
# **Energy relative to the lowest polymorph listed for this composition**: 0.687 eV per atom
# **ΔE_f (raw)**: 1.31 eV/atom
data_Cr3OsS
_chemical_formula_sum 'Cr3 Os1 S1'
_cell_length_a 4.711
_cell_length_b 4.711
_cell_length_c 4.711
_cell_angle_alpha 90.00
_cell_angle_beta 90.00
_cell_angle_gamma 90.00
_symmetry_space_group_name_H-M 'P m -3 m'
_symmetry_Int_Tables_number 221
_symmetry_space_group_name_Hall '-P 4 2 3'
loop_
_atom_site_label
_atom_site_fract_x
_atom_site_fract_y
_atom_site_fract_z
_atom_site_occupancy
Cr1 0.000 0.000 0.500 1
Os1 0.000 0.000 0.000 1
S1 0.500 0.500 0.500 1

***

# CuMoAs2 | Alexandria via LeMat-Bulk | PBE | optimized geometry
# **V**: 130.09 Å³/cell
# **VASP energy**: -5.75 eV per atom
# **Energy relative to the lowest polymorph listed for this composition**: 0.329 eV per atom
# **Calculated formation energy**: 0.31 eV/atom
data_CuMoAs2
_chemical_formula_sum 'Cu2 Mo2 As4'
_cell_length_a 3.431
_cell_length_b 4.786
_cell_length_c 7.923
_cell_angle_alpha 90.00
_cell_angle_beta 90.00
_cell_angle_gamma 90.00
_symmetry_space_group_name_H-M 'C m m m'
_symmetry_Int_Tables_number 65
_symmetry_space_group_name_Hall '-C 2 2'
loop_
_atom_site_label
_atom_site_fract_x
_atom_site_fract_y
_atom_site_fract_z
_atom_site_occupancy
Cu1 0.000 0.000 0.000 1
Mo1 0.000 0.000 0.500 1
As1 0.000 0.500 0.250 1

***

# CsKCl2 | Alexandria via LeMat-Bulk | PBE | optimized geometry
# **V**: 456.17 Å³/cell
# **VASP energy**: -3.36 eV per atom
# **ΔE_f (raw)**: -1.95 eV/atom
data_CsKCl2
_chemical_formula_sum 'Cs3 K3 Cl6'
_cell_length_a 4.7503
_cell_length_b 4.7503
_cell_length_c 23.3434
_cell_angle_alpha 90.00
_cell_angle_beta 90.00
_cell_angle_gamma 120.00
_symmetry_space_group_name_H-M 'R -3 m'
_symmetry_Int_Tables_number 166
_symmetry_space_group_name_Hall '-R 3 2"'
loop_
_atom_site_label
_atom_site_fract_x
_atom_site_fract_y
_atom_site_fract_z
_atom_site_occupancy
Cs1 0.0000 0.0000 0.0000 1
K1 0.0000 0.0000 0.5000 1
Cl1 0.0000 0.0000 0.2413 1

***

# EuPtAu | Alexandria via LeMat-Bulk | PBE | optimized geometry
# **V**: 130.96 Å³/cell
# **VASP energy**: -7.08 eV per atom
# **Energy relative to the lowest polymorph listed for this composition**: 0.163 eV per atom
# **Calculated formation energy**: -0.55 eV/atom
data_EuPtAu
_chemical_formula_sum 'Eu2 Pt2 Au2'
_cell_length_a 3.744
_cell_length_b 3.744
_cell_length_c 9.342
_cell_angle_alpha 90.00
_cell_angle_beta 90.00
_cell_angle_gamma 90.00
_symmetry_space_group_name_H-M 'I 4 m m'
_symmetry_Int_Tables_number 107
_symmetry_space_group_name_Hall 'I 4 -2'
loop_
_atom_site_label
_atom_site_fract_x
_atom_site_fract_y
_atom_site_fract_z
_atom_site_occupancy
Eu1 0.000 0.000 0.000 1
Pt1 0.000 0.000 0.334 1
Au1 0.000 0.000 0.679 1

***

# TbSm4Tl3 | Alexandria via LeMat-Bulk | PBE | optimized geometry
# **V**: 472.32 Å³/cell
# **VASP energy**: -4.09 eV per atom
# **Energy relative to the lowest polymorph listed for this composition**: 0.000 eV per atom
# **Calculated formation energy**: -0.26 eV/atom
data_TbSm4Tl3
_chemical_formula_sum 'Tb2 Sm8 Tl6'
_cell_length_a 21.559
_cell_length_b 4.473
_cell_length_c 5.035
_cell_angle_alpha 90.00
_cell_angle_beta 103.40
_cell_angle_gamma 90.00
_symmetry_space_group_name_H-M 'C 1 2/m 1'
_symmetry_Int_Tables_number 12
loop_
_symmetry_equiv_pos_as_xyz
'x,y,z'
'-x,-y,-z'
'-x,y,-z'
'x,-y,z'
'x+1/2,y+1/2,z'
'-x+1/2,-y+1/2,-z'
'-x+1/2,y+1/2,-z'
'x+1/2,-y+1/2,z'
loop_
_atom_site_label
_atom_site_fract_x
_atom_site_fract_y
_atom_site_fract_z
_atom_site_occupancy
Tb1 0.000 0.000 0.000 1
Sm1 0.118 0.000 0.619 1
Sm2 0.237 0.000 0.237 1
Tl1 0.000 0.500 0.500 1
Tl2 0.125 0.500 0.125 1

***

# SnIrC | Alexandria via LeMat-Bulk | PBE | optimized geometry
# **V**: 102.33 Å³/cell
# **VASP energy**: -6.59 eV per atom
# **Energy relative to the lowest polymorph listed for this composition**: 0.306 eV per atom
# **Calculated formation energy**: 0.77 eV/atom
data_SnIrC
_chemical_formula_sum 'Sn2 Ir2 C2'
_cell_length_a 3.225
_cell_length_b 3.236
_cell_length_c 9.805
_cell_angle_alpha 90.00
_cell_angle_beta 90.00
_cell_angle_gamma 90.00
_symmetry_space_group_name_H-M 'A m m 2'
_symmetry_Int_Tables_number 38
loop_
_symmetry_equiv_pos_as_xyz
'x,y,z'
'-x,-y,z'
'-x,y,z'
'x,-y,z'
'x,y+1/2,z+1/2'
'-x,-y+1/2,z+1/2'
'-x,y+1/2,z+1/2'
'x,-y+1/2,z+1/2'
loop_
_atom_site_label
_atom_site_fract_x
_atom_site_fract_y
_atom_site_fract_z
_atom_site_occupancy
Sn1 0.000 0.000 0.000 1
Ir1 0.500 0.000 0.771 1
C1 0.000 0.000 0.656 1

***

# Rb3Ce3NdTe8 | Alexandria via LeMat-Bulk | PBE | optimized geometry
# **V**: 1906.60 Å³/cell
# **VASP energy**: -4.71 eV per atom
# **ΔE_f (raw)**: -1.34 eV/atom
data_Rb3Ce3NdTe8
_chemical_formula_sum 'Rb9 Ce9 Nd3 Te24'
_cell_length_a 9.2141
_cell_length_b 9.2141
_cell_length_c 25.9351
_cell_angle_alpha 90.00
_cell_angle_beta 90.00
_cell_angle_gamma 120.00
_symmetry_space_group_name_H-M 'R -3 m'
_symmetry_Int_Tables_number 166
_symmetry_space_group_name_Hall '-R 3 2"'
loop_
_atom_site_label
_atom_site_fract_x
_atom_site_fract_y
_atom_site_fract_z
_atom_site_occupancy
Rb1 0.0000 0.5000 0.0000 1
Ce1 0.0000 0.5000 0.5000 1
Nd1 0.0000 0.0000 0.5000 1
Te1 0.0000 0.0000 0.2343 1
Te2 0.0045 0.5022 0.7664 1